A plane-wave DFT calculation with PBE was carried out for NaCe2F6 after structural relaxation.

Structure (POSCAR):
```
NaCe2F6
1.0
3.810 0.000 -1.231
-0.860 5.102 -2.661
0.181 0.397 7.063
Na Ce F
1 2 6
Direct
0.000 0.000 0.000
0.347 0.346 0.693
0.653 0.654 0.307
0.825 0.074 0.649
0.175 0.424 0.351
0.175 0.926 0.351
0.500 0.243 0.000
0.825 0.576 0.649
0.500 0.757 0.000
```

Properties
Final energy: -6.2423 eV per atom
SG: Immm
Total magnetization: 0.333 μB/atom
DOS at the Fermi energy: 13.06 states/eV per cell
Energy above the lowest structure with this stoichiometry: 0 meV per atom
Theoretical density: 4.8 g/cm3



A plane-wave DFT calculation with PBE was carried out for Hf2ZrSi after structural relaxation.

Structure (POSCAR):
```
Hf2ZrSi
1.0
-2.976 -2.915 -3.483
1.753 -5.035 1.132
-3.921 -1.295 3.886
Si Hf Zr
2 4 2
Direct
0.828 0.985 0.286
0.559 0.377 0.875
0.080 0.216 0.825
0.198 0.711 0.594
0.656 0.868 0.809
0.184 0.670 0.086
0.320 0.131 0.303
0.711 0.492 0.363
```

Properties
Final energy: -8.8023 eV per atom
SG: P1
Total magnetization: 0.000 μB/atom
DOS at the Fermi energy: 7.27 states/eV per cell
Theoretical density: 9.7 g/cm3



A plane-wave DFT calculation with PBE was carried out for Ta2CrOs after structural relaxation.

Structure (POSCAR):
```
Ta2CrOs
1.0
8.461 0.002 0.001
7.935 2.938 0.001
7.935 1.423 2.571
Cr Os Ta
1 1 2
Direct
0.250 0.250 0.250
0.750 0.750 0.750
0.996 0.996 0.996
0.504 0.504 0.504
```

Properties
Final energy: -10.9560 eV per atom
SG: R-3m
Total magnetization: 0.000 μB/atom
DOS at the Fermi energy: 5.49 states/eV per cell
Energy above the lowest structure with this stoichiometry: 493 meV per atom
Energy of formation from the pure elements: 0.184 eV/atom
Theoretical density: 15.7 g/cm3



A plane-wave DFT calculation with PBE was carried out for ZrBiSb2 after structural relaxation.

Structure (POSCAR):
```
ZrBiSb2
1.0
-1.038 3.749 -0.805
-3.783 0.878 -0.836
-3.077 2.859 7.482
Zr Bi Sb
1 1 2
Direct
0.666 0.666 0.003
0.503 0.503 0.490
0.074 0.074 0.779
0.257 0.257 0.229
```

Properties
Final energy: -5.3163 eV per atom
SG: R3m
Total magnetization: 0.000 μB/atom
DOS at the Fermi energy: 2.44 states/eV per cell
Theoretical density: 8.0 g/cm3



A plane-wave DFT calculation with PBE was carried out for SrAlFe3 after structural relaxation.

Structure (POSCAR):
```
SrAlFe3
1.0
4.652 0.000 0.000
0.000 4.652 0.000
0.000 0.000 4.652
Sr Fe Al
1 3 1
Direct
0.500 0.500 0.500
0.000 0.500 0.000
0.000 0.000 0.500
0.500 0.000 0.000
0.000 0.000 0.000
```

Properties
Final energy: -5.3951 eV per atom
SG: Pm-3m
Total magnetization: 1.476 μB/atom
DOS at the Fermi energy: 8.90 states/eV per cell
Energy above the lowest structure with this stoichiometry: 0 meV per atom
Energy of formation from the pure elements: 0.767 eV/atom
Theoretical density: 4.7 g/cm3



A plane-wave DFT calculation with PBE was carried out for Ce2BiN after structural relaxation.

Structure (POSCAR):
```
Ce2BiN
1.0
3.257 0.000 0.000
0.000 3.257 0.000
0.000 0.000 8.056
Bi Ce N
1 2 1
Direct
0.500 0.500 0.500
0.000 0.000 0.822
0.000 0.000 0.178
0.500 0.500 0.000
```

Properties
Final energy: -6.6127 eV per atom
SG: P4/mmm
Total magnetization: 0.564 μB/atom
DOS at the Fermi energy: 9.67 states/eV per cell
Energy above the lowest structure with this stoichiometry: 549 meV per atom
Theoretical density: 9.8 g/cm3